(1)
4
Lattice="3.4190 0.0000 0.0000 0.0000 3.4190 0.0000 0.0000 0.0000 10.2943" Properties=species:S:1:pos:R:3 comment="LiInTe2 | Alexandria via LeMat-Bulk | PBE | optimized geometry" density_kg_m3=5202 raw_formation_energy_ev_per_atom=-0.204 pbc="T T T"
Li 0.0000 0.0000 0.0000
In 1.7095 1.7095 7.4397
Te 0.0000 0.0000 5.3537
Te 1.7095 1.7095 1.5842

(2)
15
Lattice="6.1883 3.5728 4.3780 -6.1883 3.5728 4.3780 0.0000 -7.1457 4.3780" Properties=species:S:1:pos:R:3 comment="LiIn6Te8 | Alexandria via LeMat-Bulk | PBE | optimized geometry" density_kg_m3=4908 raw_formation_energy_ev_per_atom=-0.211 pbc="T T T"
Li 0.0000 0.0000 0.0000
In -2.2899 -0.1826 4.6303
In 1.3031 -1.8918 4.6303
In -0.9868 -2.0744 8.5036
In 0.9868 2.0744 4.6303
In -1.3031 1.8918 8.5036
In 2.2899 0.1826 8.5036
Te -1.3601 -2.9997 5.4738
Te 0.0000 0.0000 2.6999
Te -3.2779 -0.3219 7.6601
Te -1.9177 2.6777 5.4738
Te 1.9177 -2.6777 7.6601
Te 3.2779 0.3219 5.4738
Te 0.0000 0.0000 10.4340
Te 1.3601 2.9997 7.6601

(3)
4
Lattice="4.3636 0.0000 0.0000 0.0000 4.3636 0.0000 0.0000 0.0000 5.6058" Properties=species:S:1:pos:R:3 comment="LiIn2Te | Alexandria via LeMat-Bulk | PBE | optimized geometry" density_kg_m3=5666 raw_formation_energy_ev_per_atom=-0.310 pbc="T T T"
Li 0.0000 0.0000 0.0000
In 0.0000 2.1818 2.8029
In 2.1818 0.0000 2.8029
Te 2.1818 2.1818 0.0000

(4)
4
Lattice="3.2629 0.0000 0.0000 0.0000 6.1719 0.0000 -0.0022 0.0000 5.5028" Properties=species:S:1:pos:R:3 comment="LiInTe2 | Alexandria via LeMat-Bulk | PBE | optimized geometry" density_kg_m3=5649 raw_formation_energy_ev_per_atom=-0.421 pbc="T T T"
Li 0.0000 0.0000 0.0000
In 1.6571 3.0859 2.7636
Te 0.0228 3.0859 0.0114
Te 1.6515 0.0000 2.7610

(5)
4
Lattice="3.3657 -4.2769 0.0000 3.3657 4.2769 0.0000 0.0000 0.0000 3.1289" Properties=species:S:1:pos:R:3 comment="Li2InTe | Alexandria via LeMat-Bulk | PBE | optimized geometry" density_kg_m3=4725 de_polymorph_ev_per_fu=0.47 raw_formation_energy_ev_per_atom=-0.411 pbc="T T T"
Li 1.6828 2.1385 0.0000
Li 1.6828 -2.1385 0.0000
In 0.0000 0.0000 1.5644
Te 3.3657 0.0000 1.5644

(6)
10
Lattice="7.1328 0.0000 0.0000 2.8940 7.0762 0.0000 3.4974 0.1705 7.2935" Properties=species:S:1:pos:R:3 comment="LiInTe3 | Alexandria via LeMat-Bulk | PBE | optimized geometry" density_kg_m3=4552 de_polymorph_ev_per_fu=0.00 raw_formation_energy_ev_per_atom=-0.422 pbc="T T T"
Li 1.7689 0.1191 1.6288
Li 11.7552 7.1276 5.6647
In 5.5001 2.3478 3.6235
In 8.0241 4.8989 3.6701
Te 4.4188 1.1720 6.0057
Te 5.2115 5.1863 3.6322
Te 4.4718 1.1627 1.2315
Te 9.0524 6.0840 6.0621
Te 8.3127 2.0604 3.6613
Te 9.1054 6.0747 1.2878

(7)
4
Lattice="3.7001 0.0000 0.0000 0.0000 3.7001 0.0000 0.0000 0.0000 6.6214" Properties=species:S:1:pos:R:3 comment="Li2InTe | Alexandria via LeMat-Bulk | PBE | optimized geometry" density_kg_m3=4695 de_polymorph_ev_per_fu=0.25 raw_formation_energy_ev_per_atom=-0.467 pbc="T T T"
Li 0.0000 0.0000 1.4248
Li 0.0000 0.0000 5.1966
In 1.8501 1.8501 3.3107
Te 1.8501 1.8501 0.0000

(8)
5
Lattice="-2.3399 2.3399 6.2373 2.3399 -2.3399 6.2373 2.3399 2.3399 -6.2373" Properties=species:S:1:pos:R:3 comment="Li2InTe2 | Alexandria via LeMat-Bulk | PBE | optimized geometry" density_kg_m3=4667 de_polymorph_ev_per_fu=0.20 raw_formation_energy_ev_per_atom=-0.527 pbc="T T T"
Li 2.3399 0.0000 3.1187
Li 0.0000 2.3399 3.1187
In 0.0000 0.0000 0.0000
Te 0.0000 0.0000 4.6143
Te 0.0000 0.0000 7.8603

(9)
8
Lattice="-3.2802 3.2802 7.2218 3.2802 -3.2802 7.2218 3.2802 3.2802 -7.2218" Properties=species:S:1:pos:R:3 comment="LiIn3Te4 | Alexandria via LeMat-Bulk | PBE | optimized geometry" density_kg_m3=4604 raw_formation_energy_ev_per_atom=-0.360 pbc="T T T"
Li 0.0000 0.0000 0.0000
In 3.2802 0.0000 3.6109
In 0.0000 0.0000 7.2218
In 0.0000 3.2802 3.6109
Te 1.5153 1.5153 -1.8945
Te 1.7649 -1.7649 9.1164
Te 1.7649 1.7649 5.3273
Te -1.7649 1.7649 9.1164

(10)
4
Lattice="0.0000 3.8149 3.8149 3.8149 0.0000 3.8149 3.8149 3.8149 0.0000" Properties=species:S:1:pos:R:3 comment="LiInTe2 | Alexandria via LeMat-Bulk | PBE | optimized geometry" density_kg_m3=5637 raw_formation_energy_ev_per_atom=-0.076 pbc="T T T"
Li 0.0000 0.0000 0.0000
In 5.7223 5.7223 5.7223
Te 1.9074 1.9074 1.9074
Te 3.8149 3.8149 3.8149

(11)
4
Lattice="1.7938 1.0356 10.5983 -1.7938 1.0356 10.5983 0.0000 -2.0713 10.5983" Properties=species:S:1:pos:R:3 comment="LiInTe2 | Alexandria via LeMat-Bulk | PBE | optimized geometry" density_kg_m3=5299 raw_formation_energy_ev_per_atom=-0.158 pbc="T T T"
Li 0.0000 0.0000 0.0000
In 0.0000 0.0000 23.6352
Te 0.0000 0.0000 8.6585
Te 0.0000 0.0000 15.2297

(12)
4
Lattice="4.1362 0.0000 0.0000 0.0000 1.9545 7.3533 0.0000 -1.9545 7.3533" Properties=species:S:1:pos:R:3 comment="LiInTe2 | Alexandria via LeMat-Bulk | PBE | optimized geometry" density_kg_m3=5265 raw_formation_energy_ev_per_atom=-0.461 pbc="T T T"
Li 0.0000 0.0000 0.0000
In 2.0681 0.0000 10.7856
Te 0.0000 0.0000 4.4817
Te 2.0681 0.0000 7.9697

(13)
4
Lattice="-2.0265 2.1056 5.6138 2.0265 -2.1056 5.6138 2.0265 2.1056 -5.6138" Properties=species:S:1:pos:R:3 comment="Li2InTe | Alexandria via LeMat-Bulk | PBE | optimized geometry" density_kg_m3=4442 de_polymorph_ev_per_fu=0.28 raw_formation_energy_ev_per_atom=-0.459 pbc="T T T"
Li 0.0000 0.0000 0.0000
Li 0.0000 2.1056 2.2465
In 2.0265 0.0000 2.8843
Te 0.0000 0.0000 5.9335

(14)
4
Lattice="0.0000 3.5857 3.5857 3.5857 0.0000 3.5857 3.5857 3.5857 0.0000" Properties=species:S:1:pos:R:3 comment="Li2InTe | Alexandria via LeMat-Bulk | PBE | optimized geometry" density_kg_m3=4616 de_polymorph_ev_per_fu=0.37 raw_formation_energy_ev_per_atom=-0.437 pbc="T T T"
Li 1.7929 1.7929 1.7929
Li 5.3786 5.3786 5.3786
In 0.0000 0.0000 0.0000
Te 3.5857 3.5857 3.5857

(15)
4
Lattice="3.9948 0.0000 0.0000 0.0000 3.9948 0.0000 0.0000 0.0000 5.6853" Properties=species:S:1:pos:R:3 comment="Li2InTe | Alexandria via LeMat-Bulk | PBE | optimized geometry" density_kg_m3=4691 de_polymorph_ev_per_fu=0.47 raw_formation_energy_ev_per_atom=-0.411 pbc="T T T"
Li 0.0000 0.0000 0.0000
Li 1.9974 1.9974 1.6391
In 1.9974 1.9974 4.4676
Te 0.0000 0.0000 2.8132

(16)
4
Lattice="4.0564 0.0000 0.0000 0.0000 4.0564 0.0000 0.0000 0.0000 7.0859" Properties=species:S:1:pos:R:3 comment="LiInTe2 | Alexandria via LeMat-Bulk | PBE | optimized geometry" density_kg_m3=5369 raw_formation_energy_ev_per_atom=-0.494 pbc="T T T"
Li 0.0000 0.0000 0.0000
In 2.0282 2.0282 3.8928
Te 0.0000 0.0000 2.8925
Te 2.0282 2.0282 6.6917

(17)
12
Lattice="10.4639 -2.2504 0.0000 10.4639 2.2504 0.0000 -3.3237 0.0000 8.9861" Properties=species:S:1:pos:R:3 comment="LiTh2In3Te6 | Alexandria via LeMat-Bulk | PBE | optimized geometry" density_kg_m3=6204 raw_formation_energy_ev_per_atom=-0.762 pbc="T T T"
Li 0.0000 0.0000 0.0000
Th 4.8474 0.0000 6.1509
Th 12.7567 0.0000 2.8352
In -1.6619 0.0000 4.4930
In 6.5865 0.0000 1.5634
In 11.0176 0.0000 7.4227
Te 3.1689 0.0000 0.8454
Te 1.7820 0.0000 5.0369
Te 7.7422 0.0000 6.8984
Te 9.8619 0.0000 2.0877
Te 15.8221 0.0000 3.9492
Te 14.4352 0.0000 8.1407

(18)
8
Lattice="-3.2545 3.2545 7.4316 3.2545 -3.2545 7.4316 3.2545 3.2545 -7.4316" Properties=species:S:1:pos:R:3 comment="LiTlIn2Te4 | Alexandria via LeMat-Bulk | PBE | optimized geometry" density_kg_m3=5017 raw_formation_energy_ev_per_atom=-0.398 pbc="T T T"
Li 0.0000 0.0000 0.0000
Tl 0.0000 0.0000 7.4316
In 3.2545 0.0000 3.7158
In 0.0000 3.2545 3.7158
Te 1.4528 1.4528 -2.0362
Te 1.8018 -1.8018 9.4678
Te 1.8018 1.8018 5.3953
Te -1.8018 1.8018 9.4678

(19)
9
Lattice="8.0181 -2.2791 0.0000 8.0181 2.2791 0.0000 -1.7603 0.0000 7.9553" Properties=species:S:1:pos:R:3 comment="LiTl2In2Te4 | Alexandria via LeMat-Bulk | PBE | optimized geometry" density_kg_m3=6601 raw_formation_energy_ev_per_atom=-0.364 pbc="T T T"
Li 0.0000 0.0000 0.0000
Tl 0.9576 0.0000 4.2814
Tl 13.3182 0.0000 3.6739
In 4.0018 0.0000 7.7073
In 10.2741 0.0000 0.2480
Te 3.3331 0.0000 1.7297
Te 6.6691 0.0000 5.9562
Te 7.6067 0.0000 1.9991
Te 10.9428 0.0000 6.2256

(20)
16
Lattice="4.2961 2.4803 7.0420 -4.2961 2.4803 7.0420 0.0000 -4.9607 7.0420" Properties=species:S:1:pos:R:3 comment="Li4Tm3InTe8 | Alexandria via LeMat-Bulk | PBE | optimized geometry" density_kg_m3=6160 raw_formation_energy_ev_per_atom=-1.069 pbc="T T T"
Li 0.0000 0.0000 0.0000
Li -2.1480 -1.2402 7.0420
Li -2.1480 1.2402 14.0841
Li 0.0000 2.4803 7.0420
Tm -4.2961 0.0000 10.5631
Tm -2.1480 1.2402 3.5210
Tm 2.1480 1.2402 3.5210
In 0.0000 0.0000 10.5631
Te 0.0000 -2.4666 8.7874
Te -2.1362 1.2333 8.7874
Te 0.0000 0.0000 5.2998
Te -2.1362 -1.2333 12.3387
Te 2.1362 1.2333 8.7874
Te 0.0000 0.0000 15.8264
Te 2.1362 -1.2333 12.3387
Te 0.0000 2.4666 12.3387